1.
DFT (PBE) results for a geometry-optimized Ba3YH structure.

```
5
Lattice="-3.705 -4.297 -3.357 3.696 -4.963 2.273 -4.009 -0.604 5.198" Properties=species:S:1:pos:R:3 pbc="T T T"
Ba -1.853 -2.148 -1.678
Ba -2.004 -0.302 2.599
Ba 1.848 -2.481 1.137
Y 0.000 0.000 0.000
H -2.009 -4.932 2.057
```

Output
SG: Pm-3m
DFT total energy, eV/cell: -11.0

***

2.
DFT (PBE) results for a geometry-optimized Cs2PH4 structure.

```
7
Lattice="5.857 0.000 0.000 0.000 5.857 0.000 -2.928 -2.928 4.532" Properties=species:S:1:pos:R:3 pbc="T T T"
H -1.104 -1.104 4.532
H 1.824 4.032 0.000
H 4.032 1.824 0.000
H 1.104 1.104 4.532
P 2.928 2.928 0.000
Cs 0.000 2.928 2.266
Cs 2.928 0.000 2.266
```

Output
SG: I4/mmm
DFT total energy, eV/cell: -20.8

***

3.
DFT (PBE) results for a geometry-optimized SbOs2Pt structure.

```
4
Lattice="-0.062 -1.321 4.498 4.579 0.627 -0.790 -0.247 2.860 0.836" Properties=species:S:1:pos:R:3 pbc="T T T"
Pt -0.154 0.769 2.667
Sb 2.166 1.743 0.023
Os 0.000 0.000 0.000
Os 2.258 -0.347 1.854
```

Output
SG: Cmmm
Raw formation energy, eV per atom: 0.46

***

4.
DFT (PBE) results for a geometry-optimized Dy4GaAg2 structure.

```
14
Lattice="-5.248 -0.222 5.850 -3.076 -1.496 -7.083 5.354 -5.563 1.460" Properties=species:S:1:pos:R:3 pbc="T T T"
Dy -3.177 -4.650 1.695
Dy -0.507 -5.308 -0.452
Dy -2.172 -2.144 -1.044
Dy -0.558 -3.707 5.223
Dy -0.366 -2.292 1.934
Dy 2.334 -4.493 1.736
Dy -4.008 -2.640 4.536
Dy -5.594 -2.618 0.216
Ag -4.645 -2.305 -2.851
Ag -3.312 -1.432 1.890
Ag -0.406 -5.403 2.766
Ag 2.425 -5.421 -1.355
Ga -8.323 -1.718 -1.231
Ga -0.942 -3.960 -3.120
```

Output
SG: C2
ΔH_f (0 K), meV per atom: -209

***

5.
DFT (PBE) results for a geometry-optimized Y3TaAu structure.

```
5
Lattice="-3.164 1.936 -3.974 -4.064 0.648 3.552 1.739 5.038 1.070" Properties=species:S:1:pos:R:3 pbc="T T T"
Y -1.582 0.968 -1.987
Y 0.869 2.519 0.535
Y -2.032 0.324 1.776
Ta -2.745 3.811 0.324
Au 0.000 0.000 0.000
```

Output
SG: Pm-3m
ΔH_f (0 K), meV per atom: 641

***

6.
DFT (PBE) results for a geometry-optimized Pm12Al3In structure.

```
16
Lattice="4.887 0.000 0.000 0.000 4.887 0.000 0.000 0.000 19.584" Properties=species:S:1:pos:R:3 pbc="T T T"
Pm 2.444 2.444 14.636
Pm 0.000 2.444 17.056
Pm 2.444 0.000 17.056
Pm 2.444 2.444 9.792
Pm 2.444 0.000 2.528
Pm 2.444 0.000 12.219
Pm 2.444 2.444 0.000
Pm 0.000 2.444 7.365
Pm 0.000 2.444 12.219
Pm 2.444 2.444 4.948
Pm 2.444 0.000 7.365
Pm 0.000 2.444 2.528
Al 0.000 0.000 14.656
Al 0.000 0.000 4.928
Al 0.000 0.000 9.792
In 0.000 0.000 0.000
```

Output
SG: P4/mmm
ΔH_f (0 K), meV per atom: -198

***

7.
DFT (PBE) results for a geometry-optimized Pt2BrN structure.

```
8
Lattice="5.144 0.000 0.000 0.000 5.144 0.000 2.572 2.572 5.796" Properties=species:S:1:pos:R:3 pbc="T T T"
N 2.572 2.572 0.000
N 2.572 5.144 2.898
Pt 6.430 5.664 4.347
Pt 2.052 3.858 1.449
Pt 3.092 1.286 1.449
Pt 3.858 4.624 4.347
Br 0.000 0.000 0.000
Br 5.144 2.572 2.898
```

Output
SG: I-42d
Raw formation energy, eV per atom: 0.63